[1]
This record from the Alexandria database describes a relaxed structure of RePbW. The functional is GGA-PBEsol.

The structure in CIF format:
```
data_RePbW
_cell_length_a 6.2436
_cell_length_b 6.2436
_cell_length_c 6.2436
_cell_angle_alpha 90.00
_cell_angle_beta 90.00
_cell_angle_gamma 90.00
_symmetry_space_group_name_H-M 'F -4 3 m'
_symmetry_Int_Tables_number 216
_symmetry_space_group_name_Hall 'F -4 2 3'
loop_
_atom_site_label
_atom_site_fract_x
_atom_site_fract_y
_atom_site_fract_z
Re1 0.0000 0.0000 0.0000
Pb1 0.0000 0.0000 0.5000
W1 0.2500 0.2500 0.7500
```

=====

[2]
This record from the Alexandria database describes a relaxed structure of YRePb2. The functional is GGA-PBEsol.

The structure in CIF format:
```
data_YRePb2
_cell_length_a 6.9815
_cell_length_b 6.9815
_cell_length_c 6.9815
_cell_angle_alpha 90.00
_cell_angle_beta 90.00
_cell_angle_gamma 90.00
_symmetry_space_group_name_H-M 'F m -3 m'
_symmetry_Int_Tables_number 225
_symmetry_space_group_name_Hall '-F 4 2 3'
loop_
_atom_site_label
_atom_site_fract_x
_atom_site_fract_y
_atom_site_fract_z
Y1 0.0000 0.0000 0.0000
Re1 0.0000 0.0000 0.5000
Pb1 0.2500 0.2500 0.2500
```

Properties
Energy relative to the lowest polymorph listed for this composition ... 0.0 meV/atom

=====

[3]
This record from the Alexandria database describes a relaxed structure of YRePb2. The functional is GGA-PBEsol.

The structure in CIF format:
```
data_YRePb2
_cell_length_a 3.4369
_cell_length_b 5.5369
_cell_length_c 9.6569
_cell_angle_alpha 90.00
_cell_angle_beta 90.00
_cell_angle_gamma 90.00
_symmetry_space_group_name_H-M 'C m m m'
_symmetry_Int_Tables_number 65
_symmetry_space_group_name_Hall '-C 2 2'
loop_
_atom_site_label
_atom_site_fract_x
_atom_site_fract_y
_atom_site_fract_z
Y1 0.0000 0.0000 0.0000
Re1 0.0000 0.0000 0.5000
Pb1 0.0000 0.5000 0.2754
```

Properties
Energy relative to the lowest polymorph listed for this composition ... 269.4 meV/atom

=====

no.,ρ (Mg/m³),energy of formation (eV/atom)
1,15.75,1.153
2,13.46,0.283
3,12.46,0.552